1.
Below is a geometry-optimized Eu2MgAg structure, with properties calculated at the PBE level.

Output
energy of formation: -0.150 eV/atom

abc: 5.5364 5.5364 5.5364
angles: 60.00 60.00 60.00
Each line ends with the local moment (μB).
Fractional positions:
Mg  0.0000  0.0000  0.0000  0.01
Ag  0.5000  0.5000  0.5000  0.01
Eu  0.2500  0.2500  0.2500  6.91
Eu  0.7500  0.7500  0.7500  6.91


2.
Below is a geometry-optimized EuMg2Ag structure, with properties calculated at the PBE level.

Output
energy of formation: -0.064 eV/atom

abc: 5.0571 4.5265 4.5265
angles: 90.00 90.00 90.00
Each line ends with the local moment (μB).
Fractional positions:
Eu  0.5000  0.0000  0.0000  6.90
Ag  0.5000  0.5000  0.5000  0.02
Mg  0.0000  0.5000  0.0000  0.01
Mg  0.0000  0.0000  0.5000  0.01


3.
Below is a geometry-optimized EuMg2Ag structure, with properties calculated at the PBE level.

Output
energy of formation: -0.131 eV/atom

abc: 3.4834 3.4834 8.2349
angles: 90.00 90.00 90.00
Each line ends with the local moment (μB).
Fractional positions:
Eu  0.5000  0.5000  0.5000  6.91
Mg  0.0000  0.0000  0.1896  0.00
Mg  0.0000  0.0000  0.8104  0.00
Ag  0.5000  0.5000  0.0000  0.00


4.
Below is a geometry-optimized Eu2MgAg structure, with properties calculated at the PBE level.

Output
energy of formation: -0.185 eV/atom

abc: 3.8882 3.8882 7.9553
angles: 90.00 90.00 90.00
Each line ends with the local moment (μB).
Fractional positions:
Ag  0.5000  0.5000  0.0000  0.01
Eu  0.0000  0.0000  0.2316  6.90
Eu  0.0000  0.0000  0.7684  6.90
Mg  0.5000  0.5000  0.5000  0.00


5.
Below is a geometry-optimized EuMgAg structure, with properties calculated at the PBE level.

Output
energy of formation: -0.277 eV/atom

abc: 4.6990 7.6416 8.8347
angles: 90.00 90.00 90.00
Each line ends with the local moment (μB).
Fractional positions:
Ag  0.7500  0.2270  0.1234  0.00
Ag  0.2500  0.2730  0.6234  0.00
Ag  0.7500  0.7270  0.3766  0.00
Ag  0.2500  0.7730  0.8766  0.00
Eu  0.2500  0.0297  0.3218  6.88
Eu  0.7500  0.9703  0.6782  6.88
Eu  0.2500  0.5297  0.1782  6.88
Eu  0.7500  0.4703  0.8218  6.88
Mg  0.7500  0.3578  0.4398  0.00
Mg  0.7500  0.8578  0.0602  0.00
Mg  0.2500  0.1422  0.9398  0.00
Mg  0.2500  0.6422  0.5602  0.00


6.
Below is a geometry-optimized EuMg4Ag structure, with properties calculated at the PBE level.

Output
energy of formation: 0.014 eV/atom

abc: 5.9560 5.9560 5.9560
angles: 60.00 60.00 60.00
Each line ends with the local moment (μB).
Fractional positions:
Mg  0.1234  0.6255  0.6255  -0.01
Mg  0.6255  0.6255  0.6255  -0.01
Mg  0.6255  0.1234  0.6255  -0.01
Mg  0.6255  0.6255  0.1234  -0.01
Eu  0.2500  0.2500  0.2500  -6.96
Ag  0.0000  0.0000  0.0000  -0.02


7.
Below is a geometry-optimized EuMgAg structure, with properties calculated at the PBE level.

Output
energy of formation: -0.196 eV/atom

abc: 3.6606 3.6606 6.3450
angles: 106.77 106.77 90.00
Each line ends with the local moment (μB).
Fractional positions:
Eu  0.9417  0.9417  0.8833  6.89
Ag  0.2595  0.2595  0.5189  0.00
Mg  0.6489  0.6489  0.2977  0.00


8.
Below is a geometry-optimized EuMgAg4 structure, with properties calculated at the PBE level.

Output
energy of formation: -0.179 eV/atom

abc: 5.6833 5.6833 5.6833
angles: 60.00 60.00 60.00
Each line ends with the local moment (μB).
Fractional positions:
Ag  0.1232  0.6256  0.6256  -0.03
Ag  0.6256  0.1232  0.6256  -0.03
Ag  0.6256  0.6256  0.1232  -0.03
Ag  0.6256  0.6256  0.6256  -0.03
Mg  0.0000  0.0000  0.0000  -0.02
Eu  0.2500  0.2500  0.2500  -6.89


9.
Below is a geometry-optimized EuMg2Ag structure, with properties calculated at the PBE level.

Output
energy of formation: -0.059 eV/atom

abc: 5.1397 5.1397 5.1397
angles: 60.00 60.00 60.00
Each line ends with the local moment (μB).
Fractional positions:
Ag  0.5000  0.5000  0.5000  0.01
Eu  0.0000  0.0000  0.0000  6.93
Mg  0.7500  0.7500  0.7500  0.02
Mg  0.2500  0.2500  0.2500  0.02


10.
Below is a geometry-optimized NaEuMgAg structure, with properties calculated at the PBE level.

Output
energy of formation: -0.049 eV/atom

abc: 5.3096 5.3096 5.3096
angles: 60.00 60.00 60.00
Each line ends with the local moment (μB).
Fractional positions:
Mg  0.5000  0.5000  0.5000  0.00
Ag  0.2500  0.2500  0.2500  0.01
Na  0.7500  0.7500  0.7500  0.01
Eu  0.0000  0.0000  0.0000  6.91


11.
Below is a geometry-optimized EuMgNiAg structure, with properties calculated at the PBE level.

Output
energy of formation: -0.065 eV/atom

abc: 4.9137 4.9137 4.9137
angles: 60.00 60.00 60.00
Each line ends with the local moment (μB).
Fractional positions:
Ni  0.7500  0.7500  0.7500  -0.13
Ag  0.2500  0.2500  0.2500  0.01
Eu  0.0000  0.0000  0.0000  6.75
Mg  0.5000  0.5000  0.5000  0.00


12.
Below is a geometry-optimized EuMgAgPb structure, with properties calculated at the PBE level.

Output
energy of formation: -0.304 eV/atom

abc: 5.2451 5.2451 5.2451
angles: 60.00 60.00 60.00
Each line ends with the local moment (μB).
Fractional positions:
Pb  0.5000  0.5000  0.5000  -0.01
Ag  0.0000  0.0000  0.0000  0.00
Mg  0.2500  0.2500  0.2500  -0.01
Eu  0.7500  0.7500  0.7500  6.80